# GGA-PBE MgScVS4, optimized geometry
data_MgScVS4
_space_group_name_H-M_alt 'I m m a'
_space_group_IT_number 74
_space_group_name_Hall '-I 2b 2'
_cell_length_a 7.398
_cell_length_b 7.459
_cell_length_c 10.383
_cell_angle_alpha 90.00
_cell_angle_beta 90.00
_cell_angle_gamma 90.00
loop_
_atom_site_label
_atom_site_type_symbol
_atom_site_fract_x
_atom_site_fract_y
_atom_site_fract_z
Mg1 Mg 0.000 0.250 0.127
Sc1 Sc 0.000 0.000 0.500
V1 V 0.250 0.250 0.750
S1 S 0.000 0.030 0.748
S2 S 0.238 0.250 0.513
# **ΔE_f (raw)**: -131.98 kJ per mole of atoms
# **Density of states at the Fermi level**: 4.92 states/eV/f.u.

***

# GGA-PBE Li2UTc3N6, optimized geometry
data_Li2UTc3N6
_space_group_name_H-M_alt 'C 1 2/m 1'
_space_group_IT_number 12
_cell_length_a 5.190
_cell_length_b 9.061
_cell_length_c 5.464
_cell_angle_alpha 90.00
_cell_angle_beta 107.24
_cell_angle_gamma 90.00
loop_
_space_group_symop_operation_xyz
'x,y,z'
'-x,-y,-z'
'-x,y,-z'
'x,-y,z'
'x+1/2,y+1/2,z'
'-x+1/2,-y+1/2,-z'
'-x+1/2,y+1/2,-z'
'x+1/2,-y+1/2,z'
loop_
_atom_site_label
_atom_site_type_symbol
_atom_site_fract_x
_atom_site_fract_y
_atom_site_fract_z
Li1 Li 0.000 0.166 0.000
U1 U 0.000 0.500 0.000
Tc1 Tc 0.000 0.000 0.500
Tc2 Tc 0.000 0.314 0.500
N1 N 0.231 0.500 0.727
N2 N 0.244 0.166 0.749
# **ΔE_f (raw)**: -51.51 kJ per mole of atoms
# **Density of states at the Fermi level**: 6.36 states/eV/f.u.

***

# GGA-PBE RbAgBi3, optimized geometry
data_RbAgBi3
_space_group_name_H-M_alt 'P m -3 m'
_space_group_IT_number 221
_space_group_name_Hall '-P 4 2 3'
_cell_length_a 5.703
_cell_length_b 5.703
_cell_length_c 5.703
_cell_angle_alpha 90.00
_cell_angle_beta 90.00
_cell_angle_gamma 90.00
loop_
_atom_site_label
_atom_site_type_symbol
_atom_site_fract_x
_atom_site_fract_y
_atom_site_fract_z
Rb1 Rb 0.000 0.000 0.000
Ag1 Ag 0.500 0.500 0.500
Bi1 Bi 0.000 0.500 0.500
# **Energy above the lowest structure with this stoichiometry**: 0.0 meV/atom
# **Calculated formation energy**: 0.837 eV per formula unit
# **Density of states at the Fermi level**: 3.39 states/eV/f.u.